Material: RbMgSe2Br
Method: DFT, PBE
State: optimized geometry

```
data_RbMgSe2Br
_chemical_formula_sum 'Rb1 Mg1 Se2 Br1'
_cell_length_a 5.148
_cell_length_b 5.148
_cell_length_c 5.802
_cell_angle_alpha 90.00
_cell_angle_beta 90.00
_cell_angle_gamma 90.00
_space_group_name_H-M_alt 'P 1'
_space_group_IT_number 1
_space_group_name_Hall 'P 1'
loop_
_atom_site_label
_atom_site_fract_x
_atom_site_fract_y
_atom_site_fract_z
Rb1 0.000 0.000 0.000
Mg1 0.500 0.500 0.500
Se1 0.000 0.500 0.500
Se2 0.500 0.000 0.500
Br1 0.500 0.500 0.000
```

## Properties
- SG: P4/mmm (123)
- Relative energy among the computed polymorphs: 0 meV per atom
- Mass density: 3.8 g/cm3
- ΔE_f (raw): -790 meV/atom

=====

Material: LiNdPuS3
Method: DFT, PBE
State: optimized geometry

```
data_LiNdPuS3
_chemical_formula_sum 'Li2 Nd2 Pu2 S6'
_cell_length_a 8.185
_cell_length_b 3.900
_cell_length_c 8.521
_cell_angle_alpha 90.00
_cell_angle_beta 101.63
_cell_angle_gamma 90.00
_space_group_name_H-M_alt 'P 1'
_space_group_IT_number 1
_space_group_name_Hall 'P 1'
loop_
_atom_site_label
_atom_site_fract_x
_atom_site_fract_y
_atom_site_fract_z
Li1 0.088 0.250 0.083
Li2 0.912 0.750 0.917
Nd1 0.179 0.250 0.719
Nd2 0.821 0.750 0.281
Pu1 0.337 0.750 0.331
Pu2 0.663 0.250 0.669
S1 0.098 0.250 0.365
S2 0.210 0.750 0.991
S3 0.422 0.750 0.666
S4 0.578 0.250 0.334
S5 0.790 0.250 0.009
S6 0.902 0.750 0.635
```

## Properties
- SG: P2_1/m (11)
- Mass density: 6.1 g/cm3
- ΔE_f (raw): -1703 meV/atom

=====

Material: Th5PbSe4
Method: DFT, PBE
State: optimized geometry

```
data_Th5PbSe4
_chemical_formula_sum 'Th5 Pb1 Se4'
_cell_length_a 7.300
_cell_length_b 7.300
_cell_length_c 10.372
_cell_angle_alpha 116.96
_cell_angle_beta 116.96
_cell_angle_gamma 34.88
_space_group_name_H-M_alt 'P 1'
_space_group_IT_number 1
_space_group_name_Hall 'P 1'
loop_
_atom_site_label
_atom_site_fract_x
_atom_site_fract_y
_atom_site_fract_z
Th1 0.000 0.000 0.000
Th2 0.205 0.205 0.816
Th3 0.387 0.387 0.605
Th4 0.613 0.613 0.395
Th5 0.795 0.795 0.184
Pb1 0.000 0.000 0.500
Se1 0.205 0.205 0.291
Se2 0.409 0.409 0.109
Se3 0.591 0.591 0.891
Se4 0.795 0.795 0.709
```

## Properties
- SG: C2/m (12)
- Mass density: 10.1 g/cm3
- ΔE_f (raw): -1270 meV/atom

=====

Material: SrZr2Ru
Method: DFT, PBE
State: optimized geometry

```
data_SrZr2Ru
_chemical_formula_sum 'Sr1 Zr2 Ru1'
_cell_length_a 4.967
_cell_length_b 4.967
_cell_length_c 4.967
_cell_angle_alpha 60.00
_cell_angle_beta 60.00
_cell_angle_gamma 60.00
_space_group_name_H-M_alt 'P 1'
_space_group_IT_number 1
_space_group_name_Hall 'P 1'
loop_
_atom_site_label
_atom_site_fract_x
_atom_site_fract_y
_atom_site_fract_z
Sr1 0.000 0.000 0.000
Zr1 0.250 0.250 0.250
Zr2 0.750 0.750 0.750
Ru1 0.500 0.500 0.500
```

## Properties
- SG: Fm-3m (225)
- Relative energy among the computed polymorphs: 334 meV per atom
- Mass density: 7.1 g/cm3

=====

Material: CuSiRh2
Method: DFT, PBE
State: optimized geometry

```
data_CuSiRh2
_chemical_formula_sum 'Cu1 Si1 Rh2'
_cell_length_a 4.177
_cell_length_b 4.177
_cell_length_c 4.177
_cell_angle_alpha 60.00
_cell_angle_beta 60.00
_cell_angle_gamma 60.00
_space_group_name_H-M_alt 'P 1'
_space_group_IT_number 1
_space_group_name_Hall 'P 1'
loop_
_atom_site_label
_atom_site_fract_x
_atom_site_fract_y
_atom_site_fract_z
Cu1 0.000 0.000 0.000
Si1 0.500 0.500 0.500
Rh1 0.250 0.250 0.250
Rh2 0.750 0.750 0.750
```

## Properties
- SG: Fm-3m (225)
- Mass density: 9.6 g/cm3
- ΔE_f (raw): -537 meV/atom

=====

Material: TbGa3Ni3
Method: DFT, PBE
State: optimized geometry

```
data_TbGa3Ni3
_chemical_formula_sum 'Tb2 Ga6 Ni6'
_cell_length_a 7.114
_cell_length_b 7.114
_cell_length_c 7.114
_cell_angle_alpha 53.90
_cell_angle_beta 53.90
_cell_angle_gamma 53.90
_space_group_name_H-M_alt 'P 1'
_space_group_IT_number 1
_space_group_name_Hall 'P 1'
loop_
_atom_site_label
_atom_site_fract_x
_atom_site_fract_y
_atom_site_fract_z
Tb1 0.158 0.158 0.158
Tb2 0.842 0.842 0.842
Ga1 0.051 0.236 0.588
Ga2 0.236 0.588 0.051
Ga3 0.412 0.949 0.764
Ga4 0.588 0.051 0.236
Ga5 0.764 0.412 0.949
Ga6 0.949 0.764 0.412
Ni1 0.210 0.420 0.661
Ni2 0.339 0.790 0.580
Ni3 0.420 0.661 0.210
Ni4 0.580 0.339 0.790
Ni5 0.661 0.210 0.420
Ni6 0.790 0.580 0.339
```

## Properties
- SG: R-3 (148)
- Relative energy among the computed polymorphs: 0 meV per atom
- Mass density: 8.3 g/cm3

=====

Material: Pm3Dy2Mg3
Method: DFT, PBE
State: optimized geometry

```
data_Pm3Dy2Mg3
_chemical_formula_sum 'Pm3 Dy2 Mg3'
_cell_length_a 11.772
_cell_length_b 11.772
_cell_length_c 11.772
_cell_angle_alpha 161.40
_cell_angle_beta 152.88
_cell_angle_gamma 33.09
_space_group_name_H-M_alt 'P 1'
_space_group_IT_number 1
_space_group_name_Hall 'P 1'
loop_
_atom_site_label
_atom_site_fract_x
_atom_site_fract_y
_atom_site_fract_z
Pm1 0.000 0.000 0.000
Pm2 0.375 0.875 0.500
Pm3 0.625 0.125 0.500
Dy1 0.236 0.236 0.000
Dy2 0.764 0.764 0.000
Mg1 0.119 0.619 0.500
Mg2 0.500 0.500 0.000
Mg3 0.881 0.381 0.500
```

## Properties
- E_tot: -3.60 eV per atom
- SG: Immm (71)
- Mass density: 5.8 g/cm3

=====

Material: BaNbSe2
Method: DFT, PBE
State: optimized geometry

```
data_BaNbSe2
_chemical_formula_sum 'Ba1 Nb1 Se2'
_cell_length_a 8.504
_cell_length_b 8.504
_cell_length_c 8.504
_cell_angle_alpha 34.77
_cell_angle_beta 34.77
_cell_angle_gamma 34.77
_space_group_name_H-M_alt 'P 1'
_space_group_IT_number 1
_space_group_name_Hall 'P 1'
loop_
_atom_site_label
_atom_site_fract_x
_atom_site_fract_y
_atom_site_fract_z
Ba1 0.000 0.000 0.000
Nb1 0.500 0.500 0.500
Se1 0.397 0.397 0.397
Se2 0.603 0.603 0.603
```

## Properties
- SG: R-3m (166)
- Relative energy among the computed polymorphs: 473 meV per atom
- Mass density: 3.6 g/cm3
- ΔE_f (raw): -406 meV/atom

=====

Material: CePr3Se6
Method: DFT, PBE
State: optimized geometry

```
data_CePr3Se6
_chemical_formula_sum 'Ce2 Pr6 Se12'
_cell_length_a 11.946
_cell_length_b 4.279
_cell_length_c 12.266
_cell_angle_alpha 90.00
_cell_angle_beta 108.47
_cell_angle_gamma 90.00
_space_group_name_H-M_alt 'P 1'
_space_group_IT_number 1
_space_group_name_Hall 'P 1'
loop_
_atom_site_label
_atom_site_fract_x
_atom_site_fract_y
_atom_site_fract_z
Ce1 0.044 0.250 0.189
Ce2 0.956 0.750 0.811
Pr1 0.159 0.250 0.582
Pr2 0.318 0.750 0.997
Pr3 0.430 0.250 0.331
Pr4 0.570 0.750 0.669
Pr5 0.682 0.250 0.003
Pr6 0.841 0.750 0.418
Se1 0.084 0.750 0.399
Se2 0.111 0.250 0.963
Se3 0.188 0.750 0.750
Se4 0.250 0.750 0.222
Se5 0.399 0.250 0.565
Se6 0.481 0.250 0.115
Se7 0.519 0.750 0.885
Se8 0.601 0.750 0.435
Se9 0.750 0.250 0.778
Se10 0.812 0.250 0.250
Se11 0.889 0.750 0.037
Se12 0.916 0.250 0.601
```

## Properties
- SG: P2_1/m (11)
- Relative energy among the computed polymorphs: 0 meV per atom
- Mass density: 5.8 g/cm3
- ΔE_f (raw): -1846 meV/atom

=====

Material: SrHgOs
Method: DFT, PBE
State: optimized geometry

```
data_SrHgOs
_chemical_formula_sum 'Sr1 Hg1 Os1'
_cell_length_a 5.083
_cell_length_b 5.083
_cell_length_c 5.083
_cell_angle_alpha 60.00
_cell_angle_beta 60.00
_cell_angle_gamma 60.00
_space_group_name_H-M_alt 'P 1'
_space_group_IT_number 1
_space_group_name_Hall 'P 1'
loop_
_atom_site_label
_atom_site_fract_x
_atom_site_fract_y
_atom_site_fract_z
Sr1 0.000 0.000 0.000
Hg1 0.250 0.250 0.250
Os1 0.750 0.750 0.750
```

## Properties
- SG: F-43m (216)
- Relative energy among the computed polymorphs: 810 meV per atom
- Mass density: 8.6 g/cm3

=====

Material: MnInBrCl4
Method: DFT, PBE
State: optimized geometry

```
data_MnInBrCl4
_chemical_formula_sum 'Mn2 In2 Br2 Cl8'
_cell_length_a 7.560
_cell_length_b 7.560
_cell_length_c 8.546
_cell_angle_alpha 103.82
_cell_angle_beta 103.82
_cell_angle_gamma 72.60
_space_group_name_H-M_alt 'P 1'
_space_group_IT_number 1
_space_group_name_Hall 'P 1'
loop_
_atom_site_label
_atom_site_fract_x
_atom_site_fract_y
_atom_site_fract_z
Mn1 0.083 0.083 0.204
Mn2 0.917 0.917 0.796
In1 0.375 0.375 0.609
In2 0.625 0.625 0.391
Br1 0.132 0.132 0.933
Br2 0.868 0.868 0.067
Cl1 0.157 0.157 0.500
Cl2 0.179 0.599 0.792
Cl3 0.389 0.389 0.329
Cl4 0.401 0.821 0.208
Cl5 0.599 0.179 0.792
Cl6 0.611 0.611 0.671
Cl7 0.821 0.401 0.208
Cl8 0.843 0.843 0.500
```

## Properties
- SG: C2/m (12)
- Mass density: 2.9 g/cm3
- ΔE_f (raw): -960 meV/atom

=====

Material: Dy11Ho9Tm4
Method: DFT, PBE
State: optimized geometry

```
data_Dy11Ho9Tm4
_chemical_formula_sum 'Dy11 Ho9 Tm4'
_cell_length_a 14.994
_cell_length_b 14.994
_cell_length_c 3.616
_cell_angle_alpha 90.00
_cell_angle_beta 90.00
_cell_angle_gamma 113.04
_space_group_name_H-M_alt 'P 1'
_space_group_IT_number 1
_space_group_name_Hall 'P 1'
loop_
_atom_site_label
_atom_site_fract_x
_atom_site_fract_y
_atom_site_fract_z
Dy1 0.000 0.000 0.000
Dy2 0.045 0.407 0.000
Dy3 0.160 0.840 0.000
Dy4 0.293 0.293 0.000
Dy5 0.368 0.632 0.000
Dy6 0.407 0.045 0.000
Dy7 0.593 0.955 0.000
Dy8 0.632 0.368 0.000
Dy9 0.707 0.707 0.000
Dy10 0.840 0.160 0.000
Dy11 0.955 0.593 0.000
Ho1 0.069 0.215 0.500
Ho2 0.165 0.631 0.500
Ho3 0.215 0.069 0.500
Ho4 0.369 0.835 0.500
Ho5 0.500 0.500 0.500
Ho6 0.631 0.165 0.500
Ho7 0.785 0.931 0.500
Ho8 0.835 0.369 0.500
Ho9 0.931 0.785 0.500
Tm1 0.243 0.446 0.500
Tm2 0.446 0.243 0.500
Tm3 0.554 0.757 0.500
Tm4 0.757 0.554 0.500
```

## Properties
- E_tot: -4.52 eV per atom
- SG: Cmmm (65)
- Mass density: 8.8 g/cm3

=====

Material: NaPm3Pr4Te8
Method: DFT, PBE
State: optimized geometry

```
data_NaPm3Pr4Te8
_chemical_formula_sum 'Na1 Pm3 Pr4 Te8'
_cell_length_a 9.014
_cell_length_b 9.014
_cell_length_c 9.014
_cell_angle_alpha 59.94
_cell_angle_beta 59.94
_cell_angle_gamma 59.94
_space_group_name_H-M_alt 'P 1'
_space_group_IT_number 1
_space_group_name_Hall 'P 1'
loop_
_atom_site_label
_atom_site_fract_x
_atom_site_fract_y
_atom_site_fract_z
Na1 0.000 0.000 0.000
Pm1 0.000 0.500 0.500
Pm2 0.500 0.000 0.500
Pm3 0.500 0.500 0.000
Pr1 0.000 0.000 0.500
Pr2 0.000 0.500 0.000
Pr3 0.500 0.000 0.000
Pr4 0.500 0.500 0.500
Te1 0.246 0.246 0.750
Te2 0.246 0.750 0.246
Te3 0.250 0.754 0.754
Te4 0.252 0.252 0.252
Te5 0.748 0.748 0.748
Te6 0.750 0.246 0.246
Te7 0.754 0.250 0.754
Te8 0.754 0.754 0.250
```

## Properties
- SG: R-3m (166)
- Mass density: 6.6 g/cm3
- ΔE_f (raw): -1407 meV/atom

=====

Material: Ac2Nd
Method: DFT, PBE
State: optimized geometry

```
data_Ac2Nd
_chemical_formula_sum 'Ac4 Nd2'
_cell_length_a 7.186
_cell_length_b 7.186
_cell_length_c 7.186
_cell_angle_alpha 60.00
_cell_angle_beta 60.00
_cell_angle_gamma 60.00
_space_group_name_H-M_alt 'P 1'
_space_group_IT_number 1
_space_group_name_Hall 'P 1'
loop_
_atom_site_label
_atom_site_fract_x
_atom_site_fract_y
_atom_site_fract_z
Ac1 0.000 0.000 0.000
Ac2 0.000 0.000 0.500
Ac3 0.000 0.500 0.000
Ac4 0.500 0.000 0.000
Nd1 0.375 0.375 0.375
Nd2 0.625 0.625 0.625
```

## Properties
- SG: Fd-3m (227)
- Relative energy among the computed polymorphs: 300 meV per atom
- Mass density: 7.6 g/cm3

=====

Material: Sc11Ga9Cu4
Method: DFT, PBE
State: optimized geometry

```
data_Sc11Ga9Cu4
_chemical_formula_sum 'Sc11 Ga9 Cu4'
_cell_length_a 11.884
_cell_length_b 11.884
_cell_length_c 3.348
_cell_angle_alpha 90.00
_cell_angle_beta 90.00
_cell_angle_gamma 112.92
_space_group_name_H-M_alt 'P 1'
_space_group_IT_number 1
_space_group_name_Hall 'P 1'
loop_
_atom_site_label
_atom_site_fract_x
_atom_site_fract_y
_atom_site_fract_z
Sc1 0.000 0.000 0.000
Sc2 0.063 0.410 0.000
Sc3 0.162 0.838 0.000
Sc4 0.301 0.301 0.000
Sc5 0.368 0.632 0.000
Sc6 0.410 0.063 0.000
Sc7 0.590 0.937 0.000
Sc8 0.632 0.368 0.000
Sc9 0.699 0.699 0.000
Sc10 0.838 0.162 0.000
Sc11 0.937 0.590 0.000
Ga1 0.071 0.216 0.500
Ga2 0.159 0.630 0.500
Ga3 0.216 0.071 0.500
Ga4 0.370 0.841 0.500
Ga5 0.500 0.500 0.500
Ga6 0.630 0.159 0.500
Ga7 0.784 0.929 0.500
Ga8 0.841 0.370 0.500
Ga9 0.929 0.784 0.500
Cu1 0.247 0.448 0.500
Cu2 0.448 0.247 0.500
Cu3 0.552 0.753 0.500
Cu4 0.753 0.552 0.500
```

## Properties
- E_tot: -5.24 eV per atom
- SG: Cmmm (65)
- Mass density: 5.2 g/cm3

=====

Material: IrI2O2
Method: DFT, PBE
State: optimized geometry

```
data_IrI2O2
_chemical_formula_sum 'Ir1 I2 O2'
_cell_length_a 3.944
_cell_length_b 3.944
_cell_length_c 8.304
_cell_angle_alpha 90.00
_cell_angle_beta 90.00
_cell_angle_gamma 90.00
_space_group_name_H-M_alt 'P 1'
_space_group_IT_number 1
_space_group_name_Hall 'P 1'
loop_
_atom_site_label
_atom_site_fract_x
_atom_site_fract_y
_atom_site_fract_z
Ir1 0.000 0.000 0.000
I1 0.500 0.500 0.000
I2 0.500 0.500 0.500
O1 0.000 0.500 0.500
O2 0.500 0.000 0.500
```

## Properties
- SG: P4/mmm (123)
- Relative energy among the computed polymorphs: 393 meV per atom
- Mass density: 6.1 g/cm3
- ΔE_f (raw): 675 meV/atom

=====

Material: HfGeAu3
Method: DFT, PBE
State: optimized geometry

```
data_HfGeAu3
_chemical_formula_sum 'Hf1 Ge1 Au3'
_cell_length_a 4.796
_cell_length_b 4.796
_cell_length_c 4.796
_cell_angle_alpha 90.00
_cell_angle_beta 90.00
_cell_angle_gamma 90.00
_space_group_name_H-M_alt 'P 1'
_space_group_IT_number 1
_space_group_name_Hall 'P 1'
loop_
_atom_site_label
_atom_site_fract_x
_atom_site_fract_y
_atom_site_fract_z
Hf1 0.000 0.000 0.000
Ge1 0.500 0.500 0.500
Au1 0.000 0.500 0.500
Au2 0.500 0.000 0.500
Au3 0.500 0.500 0.000
```

## Properties
- SG: Pm-3m (221)
- Relative energy among the computed polymorphs: 0 meV per atom
- Mass density: 12.7 g/cm3

=====

Material: Dy2ScAl2
Method: DFT, PBE
State: optimized geometry

```
data_Dy2ScAl2
_chemical_formula_sum 'Dy2 Sc1 Al2'
_cell_length_a 5.816
_cell_length_b 5.816
_cell_length_c 5.816
_cell_angle_alpha 133.56
_cell_angle_beta 114.51
_cell_angle_gamma 84.04
_space_group_name_H-M_alt 'P 1'
_space_group_IT_number 1
_space_group_name_Hall 'P 1'
loop_
_atom_site_label
_atom_site_fract_x
_atom_site_fract_y
_atom_site_fract_z
Dy1 0.198 0.198 0.000
Dy2 0.802 0.802 0.000
Sc1 0.500 0.000 0.500
Al1 0.211 0.500 0.711
Al2 0.789 0.500 0.289
```

## Properties
- E_tot: -4.92 eV per atom
- SG: Immm (71)
- Mass density: 5.6 g/cm3

=====

Material: Pr4Y2Sc
Method: DFT, PBE
State: optimized geometry

```
data_Pr4Y2Sc
_chemical_formula_sum 'Pr4 Y2 Sc1'
_cell_length_a 7.181
_cell_length_b 7.181
_cell_length_c 6.026
_cell_angle_alpha 90.00
_cell_angle_beta 90.00
_cell_angle_gamma 128.67
_space_group_name_H-M_alt 'P 1'
_space_group_IT_number 1
_space_group_name_Hall 'P 1'
loop_
_atom_site_label
_atom_site_fract_x
_atom_site_fract_y
_atom_site_fract_z
Pr1 0.134 0.866 0.000
Pr2 0.311 0.689 0.500
Pr3 0.689 0.311 0.500
Pr4 0.866 0.134 0.000
Y1 0.386 0.614 0.000
Y2 0.614 0.386 0.000
Sc1 0.000 0.000 0.500
```

## Properties
- SG: Cmmm (65)
- Relative energy among the computed polymorphs: 448 meV per atom
- Mass density: 5.4 g/cm3

=====

Material: ZrHRh2
Method: DFT, PBE
State: optimized geometry

```
data_ZrHRh2
_chemical_formula_sum 'Zr1 H1 Rh2'
_cell_length_a 7.604
_cell_length_b 7.604
_cell_length_c 7.604
_cell_angle_alpha 22.02
_cell_angle_beta 22.02
_cell_angle_gamma 22.02
_space_group_name_H-M_alt 'P 1'
_space_group_IT_number 1
_space_group_name_Hall 'P 1'
loop_
_atom_site_label
_atom_site_fract_x
_atom_site_fract_y
_atom_site_fract_z
Zr1 0.000 0.000 0.000
H1 0.500 0.500 0.500
Rh1 0.113 0.113 0.113
Rh2 0.887 0.887 0.887
```

## Properties
- SG: R-3m (166)
- Relative energy among the computed polymorphs: 502 meV per atom
- Mass density: 9.1 g/cm3